No. 1
# CaTcSe2Br

A relaxed structure of CaTcSe2Br (GGA-PBEsol, Alexandria).

```
data_CaTcSe2Br
_cell_length_a 4.8130
_cell_length_b 4.8130
_cell_length_c 5.1970
_cell_angle_alpha 90.00
_cell_angle_beta 90.00
_cell_angle_gamma 90.00
_symmetry_space_group_name_H-M 'P 4/m m m'
_symmetry_Int_Tables_number 123
_symmetry_space_group_name_Hall '-P 4 2'
loop_
_atom_site_label
_atom_site_type_symbol
_atom_site_fract_x
_atom_site_fract_y
_atom_site_fract_z
_atom_site_occupancy
Ca1 Ca 0.0000 0.0000 0.0000 1
Tc1 Tc 0.5000 0.5000 0.5000 1
Se1 Se 0.0000 0.5000 0.5000 1
Br1 Br 0.5000 0.5000 0.0000 1
```

Crystal system: tetragonal
Formation energy from raw total energies in eV/f.u.: -2.3

No. 2
# CdSiPt2

A relaxed structure of CdSiPt2 (GGA-PBEsol, Alexandria).

```
data_CdSiPt2
_cell_length_a 6.8562
_cell_length_b 2.8246
_cell_length_c 6.9861
_cell_angle_alpha 90.00
_cell_angle_beta 100.95
_cell_angle_gamma 90.00
_symmetry_space_group_name_H-M 'C 1 2/m 1'
_symmetry_Int_Tables_number 12
_symmetry_space_group_name_Hall '-C 2y'
loop_
_atom_site_label
_atom_site_type_symbol
_atom_site_fract_x
_atom_site_fract_y
_atom_site_fract_z
_atom_site_occupancy
Cd1 Cd 0.0000 0.0000 0.0000 1
Si1 Si 0.0000 0.5000 0.5000 1
Pt1 Pt 0.2445 0.0000 0.6999 1
```

Crystal system: monoclinic
Formation energy from raw total energies in eV/f.u.: -1.6

No. 3
# Nb3Ga

A relaxed structure of Nb3Ga (GGA-PBEsol, Alexandria).

```
data_Nb3Ga
_cell_length_a 5.1374
_cell_length_b 5.1374
_cell_length_c 5.1374
_cell_angle_alpha 90.00
_cell_angle_beta 90.00
_cell_angle_gamma 90.00
_symmetry_space_group_name_H-M 'P m -3 n'
_symmetry_Int_Tables_number 223
_symmetry_space_group_name_Hall '-P 4n 2 3'
loop_
_atom_site_label
_atom_site_type_symbol
_atom_site_fract_x
_atom_site_fract_y
_atom_site_fract_z
_atom_site_occupancy
Nb1 Nb 0.0000 0.2500 0.5000 1
Ga1 Ga 0.0000 0.0000 0.0000 1
```

Formation enthalpy at 0 K in eV/atom: -0.205
Crystal system: cubic

No. 4
# FeH2F

A relaxed structure of FeH2F (GGA-PBEsol, Alexandria).

```
data_FeH2F
_cell_length_a 5.6167
_cell_length_b 5.6167
_cell_length_c 3.8052
_cell_angle_alpha 90.00
_cell_angle_beta 90.00
_cell_angle_gamma 90.00
_symmetry_space_group_name_H-M 'I -4 2 d'
_symmetry_Int_Tables_number 122
_symmetry_space_group_name_Hall 'I -4 2bw'
loop_
_atom_site_label
_atom_site_type_symbol
_atom_site_fract_x
_atom_site_fract_y
_atom_site_fract_z
_atom_site_occupancy
Fe1 Fe 0.0000 0.0000 0.0000 1
H1 H 0.1478 0.7500 0.1250 1
F1 F 0.0000 0.0000 0.5000 1
```

Crystal system: tetragonal
Raw total energy in Ha/atom: -0.1689

No. 5
# Cu3SnP4O16

A relaxed structure of Cu3SnP4O16 (GGA-PBEsol, Alexandria).

```
data_Cu3SnP4O16
_cell_length_a 5.0418
_cell_length_b 5.9839
_cell_length_c 9.9613
_cell_angle_alpha 90.00
_cell_angle_beta 92.95
_cell_angle_gamma 90.00
_symmetry_space_group_name_H-M 'P 1 m 1'
_symmetry_Int_Tables_number 6
_symmetry_space_group_name_Hall 'P -2y'
loop_
_atom_site_label
_atom_site_type_symbol
_atom_site_fract_x
_atom_site_fract_y
_atom_site_fract_z
_atom_site_occupancy
Cu1 Cu 0.0000 0.0000 0.0000 1
Cu2 Cu 0.2281 0.0000 0.5038 1
Cu3 Cu 0.5012 0.5000 0.8885 1
Sn1 Sn 0.8363 0.5000 0.3999 1
P1 P 0.3094 0.5000 0.5901 1
P2 P 0.4298 0.0000 0.8074 1
P3 P 0.7978 0.0000 0.2893 1
P4 P 0.9632 0.5000 0.0795 1
O1 O 0.0389 0.5000 0.2333 1
O2 O 0.0968 0.0000 0.3281 1
O3 O 0.0981 0.2994 0.0134 1
O4 O 0.1299 0.0000 0.8301 1
O5 O 0.1421 0.3081 0.5151 1
O6 O 0.2675 0.5000 0.7393 1
O7 O 0.4557 0.0000 0.6531 1
O8 O 0.5847 0.1996 0.8717 1
O9 O 0.6032 0.5000 0.5613 1
O10 O 0.6547 0.2056 0.3506 1
O11 O 0.6579 0.5000 0.0613 1
O12 O 0.7654 0.0000 0.1359 1
```

Crystal system: monoclinic
Formation energy from raw total energies in eV/f.u.: -38.1

No. 6
# MgSc2F

A relaxed structure of MgSc2F (GGA-PBEsol, Alexandria).

```
data_MgSc2F
_cell_length_a 6.8570
_cell_length_b 6.8570
_cell_length_c 6.8570
_cell_angle_alpha 90.00
_cell_angle_beta 90.00
_cell_angle_gamma 90.00
_symmetry_space_group_name_H-M 'F m -3 m'
_symmetry_Int_Tables_number 225
_symmetry_space_group_name_Hall '-F 4 2 3'
loop_
_atom_site_label
_atom_site_type_symbol
_atom_site_fract_x
_atom_site_fract_y
_atom_site_fract_z
_atom_site_occupancy
Mg1 Mg 0.0000 0.0000 0.0000 1
Sc1 Sc 0.2500 0.2500 0.2500 1
F1 F 0.0000 0.0000 0.5000 1
```

Crystal system: cubic
Formation energy from raw total energies in eV/f.u.: -1.4

No. 7
# La3HgN

A relaxed structure of La3HgN (GGA-PBEsol, Alexandria).

```
data_La3HgN
_cell_length_a 5.0321
_cell_length_b 5.0321
_cell_length_c 5.0321
_cell_angle_alpha 90.00
_cell_angle_beta 90.00
_cell_angle_gamma 90.00
_symmetry_space_group_name_H-M 'P m -3 m'
_symmetry_Int_Tables_number 221
_symmetry_space_group_name_Hall '-P 4 2 3'
loop_
_atom_site_label
_atom_site_type_symbol
_atom_site_fract_x
_atom_site_fract_y
_atom_site_fract_z
_atom_site_occupancy
La1 La 0.0000 0.0000 0.5000 1
Hg1 Hg 0.5000 0.5000 0.5000 1
N1 N 0.0000 0.0000 0.0000 1
```

Crystal system: cubic
Formation energy from raw total energies in eV/f.u.: -4.3

No. 8
# Ce2TlAg

A relaxed structure of Ce2TlAg (GGA-PBEsol, Alexandria).

```
data_Ce2TlAg
_cell_length_a 7.4706
_cell_length_b 7.4706
_cell_length_c 7.4706
_cell_angle_alpha 90.00
_cell_angle_beta 90.00
_cell_angle_gamma 90.00
_symmetry_space_group_name_H-M 'F m -3 m'
_symmetry_Int_Tables_number 225
_symmetry_space_group_name_Hall '-F 4 2 3'
loop_
_atom_site_label
_atom_site_type_symbol
_atom_site_fract_x
_atom_site_fract_y
_atom_site_fract_z
_atom_site_occupancy
Ce1 Ce 0.2500 0.2500 0.2500 1
Tl1 Tl 0.0000 0.0000 0.0000 1
Ag1 Ag 0.0000 0.0000 0.5000 1
```

Formation enthalpy at 0 K in eV/atom: -0.056
Crystal system: cubic

No. 9
# TbNiC2

A relaxed structure of TbNiC2 (GGA-PBEsol, Alexandria).

```
data_TbNiC2
_cell_length_a 3.5683
_cell_length_b 4.4802
_cell_length_c 5.9360
_cell_angle_alpha 90.00
_cell_angle_beta 90.00
_cell_angle_gamma 90.00
_symmetry_space_group_name_H-M 'A m m 2'
_symmetry_Int_Tables_number 38
_symmetry_space_group_name_Hall 'A 2 -2'
loop_
_atom_site_label
_atom_site_type_symbol
_atom_site_fract_x
_atom_site_fract_y
_atom_site_fract_z
_atom_site_occupancy
Tb1 Tb 0.0000 0.0000 0.0000 1
Ni1 Ni 0.5000 0.0000 0.3892 1
C1 C 0.5000 0.1534 0.7000 1
```

Formation enthalpy at 0 K in eV/atom: -0.397
Crystal system: orthorhombic

No. 10
# SrCaSb2

A relaxed structure of SrCaSb2 (GGA-PBEsol, Alexandria).

```
data_SrCaSb2
_cell_length_a 8.6065
_cell_length_b 8.6065
_cell_length_c 6.8020
_cell_angle_alpha 90.00
_cell_angle_beta 90.00
_cell_angle_gamma 90.00
_symmetry_space_group_name_H-M 'I -4 2 d'
_symmetry_Int_Tables_number 122
_symmetry_space_group_name_Hall 'I -4 2bw'
loop_
_atom_site_label
_atom_site_type_symbol
_atom_site_fract_x
_atom_site_fract_y
_atom_site_fract_z
_atom_site_occupancy
Sr1 Sr 0.0000 0.0000 0.0000 1
Ca1 Ca 0.0000 0.0000 0.5000 1
Sb1 Sb 0.2354 0.2500 0.6250 1
```

Crystal system: tetragonal
Energy above the lowest structure with this stoichiometry in meV/atom: 176
Formation energy from raw total energies in eV/f.u.: -2.8

No. 11
# Cs3Er5P6S24

A relaxed structure of Cs3Er5P6S24 (GGA-PBEsol, Alexandria).

```
data_Cs3Er5P6S24
_cell_length_a 15.8246
_cell_length_b 12.8279
_cell_length_c 20.4362
_cell_angle_alpha 90.00
_cell_angle_beta 103.11
_cell_angle_gamma 90.00
_symmetry_space_group_name_H-M 'C 1 c 1'
_symmetry_Int_Tables_number 9
_symmetry_space_group_name_Hall 'C -2yc'
loop_
_atom_site_label
_atom_site_type_symbol
_atom_site_fract_x
_atom_site_fract_y
_atom_site_fract_z
_atom_site_occupancy
Cs1 Cs 0.0000 0.1193 0.0000 1
Cs2 Cs 0.0753 0.2519 0.7424 1
Cs3 Cs 0.1352 0.3762 0.4241 1
Er1 Er 0.2180 0.3891 0.1388 1
Er2 Er 0.2663 0.1205 0.2769 1
Er3 Er 0.3190 0.0558 0.9613 1
Er4 Er 0.3710 0.1208 0.6442 1
Er5 Er 0.4177 0.3887 0.7829 1
P1 P 0.0148 0.4517 0.0498 1
P2 P 0.1214 0.0487 0.3719 1
P3 P 0.2747 0.1296 0.1086 1
P4 P 0.2985 0.3692 0.6170 1
P5 P 0.3373 0.3700 0.3047 1
P6 P 0.3624 0.1292 0.8124 1
S1 S 0.0269 0.1157 0.4088 1
S2 S 0.0499 0.4299 0.1525 1
S3 S 0.0865 0.0674 0.2690 1
S4 S 0.1097 0.3854 0.0126 1
S5 S 0.1504 0.1034 0.8959 1
S6 S 0.1741 0.1778 0.1480 1
S7 S 0.2097 0.3282 0.2697 1
S8 S 0.2354 0.1279 0.4045 1
S9 S 0.2392 0.0083 0.5607 1
S10 S 0.2387 0.2412 0.5718 1
S11 S 0.2461 0.4055 0.6982 1
S12 S 0.2586 0.0968 0.7340 1
S13 S 0.2965 0.4956 0.5583 1
S14 S 0.2982 0.2393 0.0449 1
S15 S 0.3371 0.2398 0.8752 1
S16 S 0.3392 0.4960 0.3637 1
S17 S 0.3786 0.0975 0.1871 1
S18 S 0.3894 0.4064 0.2234 1
S19 S 0.3984 0.0079 0.3611 1
S20 S 0.3989 0.2421 0.3495 1
S21 S 0.4016 0.1290 0.5166 1
S22 S 0.4266 0.3290 0.6526 1
S23 S 0.4633 0.1778 0.7735 1
S24 S 0.4854 0.1038 0.0282 1
```

Crystal system: monoclinic
Formation energy from raw total energies in eV/f.u.: -41.7

No. 12
# CsTlN2

A relaxed structure of CsTlN2 (GGA-PBEsol, Alexandria).

```
data_CsTlN2
_cell_length_a 4.5505
_cell_length_b 4.5505
_cell_length_c 21.7124
_cell_angle_alpha 90.00
_cell_angle_beta 90.00
_cell_angle_gamma 120.00
_symmetry_space_group_name_H-M 'R -3 m'
_symmetry_Int_Tables_number 166
_symmetry_space_group_name_Hall '-R 3 2"'
loop_
_atom_site_label
_atom_site_type_symbol
_atom_site_fract_x
_atom_site_fract_y
_atom_site_fract_z
_atom_site_occupancy
Cs1 Cs 0.0000 0.0000 0.0000 1
Tl1 Tl 0.0000 0.0000 0.5000 1
N1 N 0.0000 0.0000 0.4102 1
```

Crystal system: trigonal
Formation energy from raw total energies in eV/f.u.: 5.2

| no. | density of states at the Fermi level (states/eV per atom) |
| --- | --- |
| 1 | 0.867 |
| 2 | 0.291 |
| 3 | 1.416 |
| 4 | 0.565 |
| 5 | 0.110 |
| 6 | 1.224 |
| 7 | 0.879 |
| 8 | 3.681 |
| 9 | 0.303 |
| 10 | 0.533 |
| 11 | 0.000 |
| 12 | 0.019 |